DFT (PBE) results for a relaxed Ce6Tl2GeC crystal.

Its space group is P4/mmm, No. 123. The calculation puts the total energy at -5.528 eV per atom.

The structure in POSCAR format:
```
Ce6Tl2GeC
1.0
5.318 0.000 0.000
0.000 5.318 0.000
0.000 0.000 10.395
Ge C Ce Tl
1 1 6 2
direct
0.500 0.500 0.000
0.500 0.500 0.500
0.000 0.500 0.000
0.500 0.000 0.500
0.500 0.000 0.000
0.500 0.500 0.272
0.000 0.500 0.500
0.500 0.500 0.728
0.000 0.000 0.746
0.000 0.000 0.254
```



DFT (PBE) results for a relaxed Mn2V5Ni12 crystal.

Its space group is C2/m, No. 12. The calculation puts the total energy at -6.842 eV per atom.

The structure in POSCAR format:
```
Mn2V5Ni12
1.0
4.844 0.000 0.000
-2.422 6.819 -0.024
0.000 -2.419 7.473
Ni V Mn
12 5 2
direct
0.441 0.405 0.114
0.036 0.595 0.886
0.100 0.692 0.391
0.885 0.771 0.690
0.407 0.308 0.609
0.964 0.405 0.114
0.517 0.033 0.358
0.593 0.692 0.391
0.115 0.229 0.310
0.559 0.595 0.886
0.900 0.308 0.609
0.483 0.967 0.642
0.368 0.736 0.133
0.000 0.000 0.500
0.632 0.264 0.867
0.689 0.378 0.364
0.311 0.622 0.636
0.748 0.000 0.000
0.252 0.000 0.000
```



These records have M_tot values of 4.5; 5.9 μB/f.u., in the order they appear.